Entry 1:
Computed, not measured: a PBEsol-optimized structure of TaReBAu2 at the SCAN level of DFT.

Results
ΔE_f: 146.64 kJ per mole of atoms
Spin magnetization: 1.3 μB/f.u.
DOS(E_F): 2.8 states/eV/cell
SG: P4/mmm

Structure (POSCAR):
```
TaReBAu2
1.0
4.9247 0.0000 0.0000
0.0000 4.9247 0.0000
0.0000 0.0000 3.8574
Ta Re B Au
1 1 1 2
Cartesian
0.0000 0.0000 0.0000
2.4623 2.4623 1.9287
2.4623 2.4623 0.0000
0.0000 2.4623 1.9287
2.4623 0.0000 1.9287
```

Entry 2:
Computed, not measured: a PBEsol-optimized structure of CuPb2Au at the SCAN level of DFT.

Results
ΔE_f: 4.61 kJ per mole of atoms
Spin magnetization: 0.0 μB/f.u.
DOS(E_F): 1.6 states/eV/cell
SG: Pm

Structure (POSCAR):
```
CuPb2Au
1.0
4.1679 0.0000 0.0000
0.0000 3.8196 0.0000
-2.0624 0.0000 5.4469
Cu Pb Au
1 2 1
Cartesian
0.0000 0.0000 0.0000
0.0099 0.0000 2.7994
2.0772 1.9098 0.5761
2.0945 1.9098 3.6789
```

Entry 3:
Computed, not measured: a PBEsol-optimized structure of GeSbPb3 at the SCAN level of DFT.

Results
Spin magnetization: 0.0 μB/f.u.
DOS(E_F): 3.6 states/eV/cell
SG: Pm-3m
Uncorrected formation energy: 0.842 eV per atom

Structure (POSCAR):
```
GeSbPb3
1.0
5.7252 0.0000 0.0000
0.0000 5.7252 0.0000
0.0000 0.0000 5.7252
Ge Sb Pb
1 1 3
Cartesian
0.0000 0.0000 0.0000
2.8626 2.8626 2.8626
0.0000 2.8626 2.8626
2.8626 0.0000 2.8626
2.8626 2.8626 0.0000
```

Entry 4:
Computed, not measured: a PBEsol-optimized structure of ZrRe2Rh at the SCAN level of DFT.

Results
ΔE_f: 5.86 kJ per mole of atoms
Spin magnetization: 0.0 μB/f.u.
Offset from the most stable computed form: 259 meV/atom
DOS(E_F): 3.1 states/eV/cell
SG: Pmmm

Structure (POSCAR):
```
ZrRe2Rh
1.0
2.7110 0.0000 0.0000
0.0000 3.9521 0.0000
0.0000 0.0000 5.9522
Zr Re Rh
1 2 1
Cartesian
0.0000 0.0000 0.0000
1.3555 1.9760 1.6937
1.3555 1.9760 4.2585
0.0000 0.0000 2.9761
```

Entry 5:
Computed, not measured: a PBEsol-optimized structure of SrCuSb3 at the SCAN level of DFT.

Results
Spin magnetization: 0.0 μB/f.u.
Offset from the most stable computed form: 0 meV/atom
DOS(E_F): 3.0 states/eV/cell
SG: Pm-3m
Uncorrected formation energy: -0.155 eV per atom

Structure (POSCAR):
```
SrCuSb3
1.0
5.1541 0.0000 0.0000
0.0000 5.1541 0.0000
0.0000 0.0000 5.1541
Sr Cu Sb
1 1 3
Cartesian
0.0000 0.0000 0.0000
2.5771 2.5771 2.5771
0.0000 2.5771 2.5771
2.5771 0.0000 2.5771
2.5771 2.5771 0.0000
```

Entry 6:
Computed, not measured: a PBEsol-optimized structure of LiZnP2 at the SCAN level of DFT.

Results
ΔE_f: 7.01 kJ per mole of atoms
Spin magnetization: 0.0 μB/f.u.
DOS(E_F): 1.3 states/eV/cell
SG: Cmmm

Structure (POSCAR):
```
LiZnP2
1.0
1.7996 -2.1680 0.0000
1.7996 2.1680 0.0000
0.0000 0.0000 7.3954
Li Zn P
1 1 2
Cartesian
0.0000 0.0000 0.0000
0.0000 0.0000 3.6977
1.7996 0.0000 1.8743
1.7996 0.0000 5.5212
```

Entry 7:
Computed, not measured: a PBEsol-optimized structure of SbTeIr2 at the SCAN level of DFT.

Results
Spin magnetization: 0.0 μB/f.u.
Offset from the most stable computed form: 0 meV/atom
DOS(E_F): 1.4 states/eV/cell
SG: P3m1
Uncorrected formation energy: 0.041 eV per atom

Structure (POSCAR):
```
SbTeIr2
1.0
4.0722 0.0000 0.0000
-2.0361 3.5266 0.0000
0.0000 0.0000 6.4082
Sb Te Ir
1 1 2
Cartesian
0.0000 0.0000 0.0000
0.0000 0.0000 3.4484
0.0000 2.3511 1.1330
2.0361 1.1755 2.2468
```

Entry 8:
Computed, not measured: a PBEsol-optimized structure of CaHf3Ga at the SCAN level of DFT.

Results
ΔE_f: 52.45 kJ per mole of atoms
Spin magnetization: 1.1 μB/f.u.
DOS(E_F): 7.0 states/eV/cell
SG: Pm-3m

Structure (POSCAR):
```
CaHf3Ga
1.0
5.0587 0.0000 0.0000
0.0000 5.0587 0.0000
0.0000 0.0000 5.0587
Ca Hf Ga
1 3 1
Cartesian
0.0000 0.0000 0.0000
0.0000 2.5293 2.5293
2.5293 0.0000 2.5293
2.5293 2.5293 0.0000
2.5293 2.5293 2.5293
```